The following is a PBE calculation of a relaxed DyMg2Au3 crystal, from Alexandria.

Summary:
Energy of formation from the pure elements = -4.1 eV/f.u.
Energy relative to the lowest polymorph listed for this composition = 19 meV/atom
Magnetic moment = 0.00 μB/f.u.

Cell and atoms, written as CIF:
```
data_DyMg2Au3
_chemical_formula_sum 'Dy1 Mg2 Au3'
_cell_length_a 3.398
_cell_length_b 3.398
_cell_length_c 10.299
_cell_angle_alpha 90.00
_cell_angle_beta 90.00
_cell_angle_gamma 90.00
_space_group_name_H-M_alt 'P 4/m m m'
_space_group_IT_number 123
_space_group_name_Hall '-P 4 2'
loop_
_atom_site_label
_atom_site_type_symbol
_atom_site_fract_x
_atom_site_fract_y
_atom_site_fract_z
Dy1 Dy 0.000 0.000 0.000
Mg1 Mg 0.000 0.000 0.344
Au1 Au 0.500 0.500 0.187
Au2 Au 0.500 0.500 0.500
```



The following is a PBE calculation of a relaxed Ti2AlCr crystal, from Alexandria.

Summary:
Energy of formation from the pure elements = 1.3 eV/f.u.
Magnetic moment = 0.00 μB/f.u.

Cell and atoms, written as CIF:
```
data_Ti2AlCr
_chemical_formula_sum 'Ti8 Al4 Cr4'
_cell_length_a 6.976
_cell_length_b 6.976
_cell_length_c 5.227
_cell_angle_alpha 90.00
_cell_angle_beta 90.00
_cell_angle_gamma 90.00
_space_group_name_H-M_alt 'I -4 2 d'
_space_group_IT_number 122
_space_group_name_Hall 'I -4 2bw'
loop_
_atom_site_label
_atom_site_type_symbol
_atom_site_fract_x
_atom_site_fract_y
_atom_site_fract_z
Ti1 Ti 0.220 0.250 0.125
Al1 Al 0.000 0.000 0.500
Cr1 Cr 0.000 0.000 0.000
```



The following is a PBE calculation of a relaxed Na2HoZnO4 crystal, from Alexandria.

Summary:
ΔE_f (raw) = -1.924 eV/atom
Magnetic moment = 1.05 μB/f.u.

Cell and atoms, written as CIF:
```
data_Na2HoZnO4
_chemical_formula_sum 'Na2 Ho1 Zn1 O4'
_cell_length_a 5.672
_cell_length_b 3.256
_cell_length_c 5.965
_cell_angle_alpha 90.00
_cell_angle_beta 110.73
_cell_angle_gamma 90.00
_space_group_name_H-M_alt 'P 1 2/m 1'
_space_group_IT_number 10
_space_group_name_Hall '-P 2y'
loop_
_atom_site_label
_atom_site_type_symbol
_atom_site_fract_x
_atom_site_fract_y
_atom_site_fract_z
Na1 Na 0.000 0.000 0.000
Na2 Na 0.500 0.500 0.000
Ho1 Ho 0.000 0.500 0.500
Zn1 Zn 0.500 0.000 0.500
O1 O 0.227 0.000 0.732
O2 O 0.287 0.500 0.305
```